Entry 1:
Below is a relaxed structure of Pr6Cu2Pt, with properties calculated at the PBE level.

Values from the calculation:
electronic total energy = -4.998 eV/atom
ΔE_f = -0.2307 eV per atom
density of states at the Fermi level = 21.7 states/eV per cell

Unit cell a=6.7179 b=7.5907 c=12.3684 alpha=90.00 beta=120.64 gamma=90.00
Space group P2_1/c (No. 14)
Symmetry-distinct sites (fractional):
Pr: 0.0816 0.1922 0.4259 [4 per cell]
Pr: 0.2560 0.6681 0.4301 [4 per cell]
Pr: 0.3973 0.0464 0.2412 [4 per cell]
Cu: 0.1676 0.1118 0.7352 [4 per cell]
Pt: 0.5000 0.0000 0.5000 [2 per cell]

Entry 2:
Below is a relaxed structure of Tm3HgPd5, with properties calculated at the PBE level.

Values from the calculation:
electronic total energy = -5.236 eV/atom
ΔE_f = -0.8270 eV per atom
density of states at the Fermi level = 8.8 states/eV per cell

Unit cell a=8.3701 b=8.3701 c=5.7741 alpha=90.00 beta=90.00 gamma=120.00
Space group P6_3/mcm (No. 193)
Symmetry-distinct sites (fractional):
Tm: 0.0000 0.3574 0.2500 [6 per cell]
Hg: 0.0000 0.0000 0.0000 [2 per cell]
Pd: 0.0000 0.3177 0.7500 [6 per cell]
Pd: 0.3333 0.6667 0.0000 [4 per cell]

Entry 3:
Below is a relaxed structure of BaNa2Sr8, with properties calculated at the PBE level.

Values from the calculation:
electronic total energy = -1.543 eV/atom
ΔE_f = 0.0943 eV per atom
energy relative to the lowest polymorph listed for this composition = 78 kJ/mol of formula units
density of states at the Fermi level = 26.6 states/eV per cell

Unit cell a=10.7539 b=17.1278 c=6.9215 alpha=90.00 beta=109.55 gamma=90.00
Space group C2/m (No. 12)
Symmetry-distinct sites (fractional):
Ba: 0.0000 0.0000 0.0000 [2 per cell]
Na: 0.0000 0.3101 0.5000 [4 per cell]
Sr: 0.0000 0.2403 0.0000 [4 per cell]
Sr: 0.1003 0.5000 0.8073 [4 per cell]
Sr: 0.2025 0.1196 0.5991 [8 per cell]

Entry 4:
Below is a relaxed structure of Th3GeSe3, with properties calculated at the PBE level.

Values from the calculation:
electronic total energy = -6.671 eV/atom
energy relative to the lowest polymorph listed for this composition = 11 kJ/mol of formula units
density of states at the Fermi level = 16.9 states/eV per cell

Unit cell a=8.7544 b=8.7544 c=17.9045 alpha=90.00 beta=90.00 gamma=120.00
Space group R-3 (No. 148, hexagonal axes)
Symmetry-distinct sites (fractional):
Th: 0.0063 0.3824 0.4221 [18 per cell]
Ge: 0.0000 0.0000 0.1678 [6 per cell]
Se: 0.0067 0.2764 0.5893 [18 per cell]

Entry 5:
Below is a relaxed structure of BaMnAl2, with properties calculated at the PBE level.

Values from the calculation:
electronic total energy = -4.128 eV/atom
ΔE_f = 0.5166 eV per atom
density of states at the Fermi level = 4.6 states/eV per cell

Unit cell a=6.3864 b=9.7413 c=3.1211 alpha=90.00 beta=90.00 gamma=90.00
Space group Cmmm (No. 65)
Symmetry-distinct sites (fractional):
Ba: 0.0000 0.0000 0.0000 [2 per cell]
Mn: 0.0000 0.5000 0.0000 [2 per cell]
Al: 0.2500 0.2500 0.5000 [4 per cell]

Entry 6:
Below is a relaxed structure of PmMgIn4, with properties calculated at the PBE level.

Values from the calculation:
electronic total energy = -3.004 eV/atom
ΔE_f = -0.1206 eV per atom
energy relative to the lowest polymorph listed for this composition = 0 kJ/mol of formula units
density of states at the Fermi level = 17.8 states/eV per cell

Unit cell a=8.5901 b=8.5901 c=8.5901 alpha=90.00 beta=90.00 gamma=90.00
Space group F-43m (No. 216)
Symmetry-distinct sites (fractional):
Pm: 0.0000 0.0000 0.0000 [4 per cell]
Mg: 0.2500 0.2500 0.2500 [4 per cell]
In: 0.1251 0.1251 0.6251 [16 per cell]